(1)
Material: SrLuNO
Method: DFT, PBE
State: relaxed

Properties
Distance to the lowest polymorph of the same formula: 225 meV/atom
M_tot: 0.0 μB per cell
Crystal system: orthorhombic

a b c (Å): 6.4167 6.4343 7.1512
angles (deg): 90.00 90.00 90.00
Closest atoms and distances in Å follow each position.
Space group Cmme (No. 67)
Inequivalent atoms, fractional coordinates:
Sr1 0.2500 0.0000 0.0000 x4  4 N 2.49
Lu1 0.0000 0.2500 0.4288 x4  1 N 2.04
N1 0.0000 0.2500 0.1433 x4  1 Lu 2.04
O1 0.2500 0.0000 0.5000 x4  4 Lu 2.33

(2)
Material: ZrTlFeTc
Method: DFT, PBE
State: relaxed

Properties
Distance to the lowest polymorph of the same formula: 0 meV/atom
M_tot: 7.8 μB per cell
Crystal system: cubic

a b c (Å): 6.5182 6.5182 6.5182
angles (deg): 90.00 90.00 90.00
Closest atoms and distances in Å follow each position.
Space group F-43m (No. 216)
Inequivalent atoms, fractional coordinates:
Zr1 0.0000 0.0000 0.0000 x4  4 Fe 2.82, 4 Tc 2.82
Tl1 0.0000 0.0000 0.5000 x4  4 Fe 2.82, 4 Tc 2.82
Fe1 0.2500 0.2500 0.7500 x4  4 Zr 2.82, 4 Tl 2.82
Tc1 0.2500 0.2500 0.2500 x4  4 Zr 2.82, 4 Tl 2.82

(3)
Material: BiIrNO
Method: DFT, PBE
State: relaxed

Properties
Distance to the lowest polymorph of the same formula: 756 meV/atom
M_tot: 0.0 μB per cell
Crystal system: tetragonal

a b c (Å): 4.5728 4.5728 5.3030
angles (deg): 90.00 90.00 90.00
Closest atoms and distances in Å follow each position.
Space group P4/nmm (No. 129, origin choice 2)
Inequivalent atoms, fractional coordinates:
Bi1 0.2500 0.7500 0.0000 x2  4 N 2.48, 2 O 2.65
Ir1 0.2500 0.2500 0.4517 x2  1 N 1.94
N1 0.2500 0.2500 0.8171 x2  1 Ir 1.94
O1 0.2500 0.7500 0.5000 x2  4 Ir 2.30